First-principles (GGA-PBE) data for crystalline AcSc2Hg at its relaxed geometry, as listed in Alexandria via LeMat-Bulk.

E_tot: -17.61 eV for the cell shown
offset from the most stable computed form: 0 meV/atom
E_form: -0.134 eV/atom
calculated density: 7.88 Mg/m³
D(E_F): 1.5022 states/eV per atom

```
4
Lattice="3.634 0.000 0.000 0.000 3.634 0.000 0.000 0.000 8.261" Properties=species:S:1:pos:R:3 pbc="T T T"
Ac 0.000 0.000 0.000
Sc 1.817 1.817 2.474
Sc 1.817 1.817 5.787
Hg 0.000 0.000 4.130
```

***

First-principles (GGA-PBE) data for crystalline Ac2ScHg at its relaxed geometry, as listed in Alexandria via LeMat-Bulk.

E_tot: -15.46 eV for the cell shown
offset from the most stable computed form: 0 meV/atom
E_form: -0.152 eV/atom
calculated density: 8.50 Mg/m³
D(E_F): 1.3939 states/eV per atom

```
4
Lattice="4.027 0.000 0.000 0.000 4.027 0.000 0.000 0.000 8.428" Properties=species:S:1:pos:R:3 pbc="T T T"
Ac 0.000 0.000 2.036
Ac 0.000 0.000 6.391
Sc 2.013 2.013 4.214
Hg 2.013 2.013 0.000
```

***

First-principles (GGA-PBE) data for crystalline AcSc2Hg at its relaxed geometry, as listed in Alexandria via LeMat-Bulk.

E_tot: -17.12 eV for the cell shown
offset from the most stable computed form: 122 meV/atom
E_form: -0.012 eV/atom
calculated density: 7.47 Mg/m³
D(E_F): 1.2829 states/eV per atom

```
4
Lattice="1.804 1.042 10.195 -1.804 1.042 10.195 0.000 -2.083 10.195" Properties=species:S:1:pos:R:3 pbc="T T T"
Ac 0.000 0.000 0.000
Sc 0.000 0.000 7.280
Sc 0.000 0.000 13.159
Hg 0.000 0.000 25.524
```

***

First-principles (GGA-PBE) data for crystalline AcSc2Hg at its relaxed geometry, as listed in Alexandria via LeMat-Bulk.

E_tot: -16.74 eV for the cell shown
offset from the most stable computed form: 217 meV/atom
E_form: 0.083 eV/atom
calculated density: 8.05 Mg/m³
D(E_F): 1.6071 states/eV per atom

```
4
Lattice="0.000 3.765 3.765 3.765 0.000 3.765 3.765 3.765 0.000" Properties=species:S:1:pos:R:3 pbc="T T T"
Ac 0.000 0.000 0.000
Sc 1.883 1.883 1.883
Sc 5.648 5.648 5.648
Hg 3.765 3.765 3.765
```